Material: TaAsH2
Method: DFT, GGA-PBE
State: optimized geometry

abc: 5.488 5.488 5.488
angles: 90.00 90.00 90.00
Space group Fm-3m (No. 225)
Asymmetric unit:
Ta 0.000 0.000 0.000 [4 per cell]
As 0.000 0.000 0.500 [4 per cell]
H 0.250 0.250 0.250 [8 per cell]

Electronic total energy = -5.067 eV/atom

Material: TaAs2H
Method: DFT, GGA-PBE
State: optimized geometry

abc: 6.022 6.022 6.271
angles: 90.00 90.00 90.00
Space group I-42d (No. 122)
Asymmetric unit:
Ta 0.000 0.000 0.000 [4 per cell]
As 0.160 0.250 0.625 [8 per cell]
H 0.000 0.000 0.500 [4 per cell]

Electronic total energy = -5.831 eV/atom

Material: TaAsH3
Method: DFT, GGA-PBE
State: optimized geometry

abc: 3.570 3.570 3.570
angles: 90.00 90.00 90.00
Space group Pm-3m (No. 221)
Asymmetric unit:
Ta 0.000 0.000 0.000 [1 per cell]
As 0.500 0.500 0.500 [1 per cell]
H 0.000 0.500 0.500 [3 per cell]

Electronic total energy = -4.272 eV/atom

Material: TaAsH2
Method: DFT, GGA-PBE
State: optimized geometry

abc: 5.820 5.820 5.162
angles: 90.00 90.00 90.00
Space group I-42d (No. 122)
Asymmetric unit:
Ta 0.000 0.000 0.000 [4 per cell]
As 0.000 0.000 0.500 [4 per cell]
H 0.173 0.250 0.125 [8 per cell]

Electronic total energy = -5.689 eV/atom

Material: TaAsH3
Method: DFT, GGA-PBE
State: optimized geometry

abc: 3.648 3.648 3.648
angles: 90.00 90.00 90.00
Space group Pm-3m (No. 221)
Asymmetric unit:
Ta 0.000 0.000 0.000 [1 per cell]
As 0.500 0.500 0.500 [1 per cell]
H 0.000 0.000 0.500 [3 per cell]

Electronic total energy = -4.947 eV/atom

Material: TaAs2H
Method: DFT, GGA-PBE
State: optimized geometry

abc: 6.291 6.291 6.291
angles: 90.00 90.00 90.00
Space group Fm-3m (No. 225)
Asymmetric unit:
Ta 0.000 0.000 0.000 [4 per cell]
As 0.250 0.250 0.250 [8 per cell]
H 0.000 0.000 0.500 [4 per cell]

Electronic total energy = -5.596 eV/atom

Material: TaTi2AsH
Method: DFT, GGA-PBE
State: optimized geometry

abc: 4.164 4.164 3.843
angles: 90.00 90.00 90.00
Space group P4/mmm (No. 123)
Asymmetric unit:
Ta 0.000 0.000 0.000 [1 per cell]
Ti 0.000 0.500 0.500 [2 per cell]
As 0.500 0.500 0.000 [1 per cell]
H 0.000 0.000 0.500 [1 per cell]

Electronic total energy = -7.502 eV/atom

Material: Ta2AsHW
Method: DFT, GGA-PBE
State: optimized geometry

abc: 4.282 4.282 3.822
angles: 90.00 90.00 90.00
Space group P4/mmm (No. 123)
Asymmetric unit:
Ta 0.000 0.500 0.000 [2 per cell]
As 0.000 0.000 0.500 [1 per cell]
H 0.500 0.500 0.000 [1 per cell]
W 0.500 0.500 0.500 [1 per cell]

Electronic total energy = -8.744 eV/atom

Material: TbAsH
Method: DFT, GGA-PBE
State: optimized geometry

abc: 12.840 3.878 4.006
angles: 90.00 90.00 90.00
Space group Pnma (No. 62)
Asymmetric unit:
Tb 0.153 0.250 0.135 [4 per cell]
As 0.079 0.750 0.627 [4 per cell]
H 0.248 0.250 0.617 [4 per cell]

Electronic total energy = -5.018 eV/atom

Material: TbAsH
Method: DFT, GGA-PBE
State: optimized geometry

abc: 4.026 4.026 7.094
angles: 90.00 90.00 90.00
Space group I4mm (No. 107)
Asymmetric unit:
Tb 0.000 0.000 0.000 [2 per cell]
As 0.000 0.000 0.412 [2 per cell]
H 0.000 0.000 0.682 [2 per cell]

Electronic total energy = -4.666 eV/atom

Material: TbAsH
Method: DFT, GGA-PBE
State: optimized geometry

abc: 3.7144 3.7144 4.2776
angles: 90.00 90.00 120.00
Space group P-6m2 (No. 187)
Asymmetric unit:
Tb 0.0000 0.0000 0.0000 [1 per cell]
As 0.6667 0.3333 0.5000 [1 per cell]
H 0.3333 0.6667 0.0000 [1 per cell]

Electronic total energy = -5.001 eV/atom

Material: TbAsH
Method: DFT, GGA-PBE
State: optimized geometry

abc: 10.397 3.906 5.055
angles: 90.00 92.53 90.00
Space group C2/m (No. 12)
Asymmetric unit:
Tb 0.143 0.000 0.272 [4 per cell]
As 0.073 0.500 0.807 [4 per cell]
H 0.221 0.500 0.392 [4 per cell]

Electronic total energy = -5.051 eV/atom

Material: Tb8Te4As3H
Method: DFT, GGA-PBE
State: optimized geometry

abc: 8.3282 8.3282 21.1827
angles: 90.00 90.00 120.00
Space group R-3m (No. 166, hexagonal axes)
Asymmetric unit:
Tb 0.0000 0.0000 0.2387 [6 per cell]
Tb 0.0004 0.5002 0.2395 [18 per cell]
Te 0.0000 0.0000 0.0000 [3 per cell]
Te 0.0000 0.5000 0.0000 [9 per cell]
As 0.0000 0.5000 0.5000 [9 per cell]
H 0.0000 0.0000 0.5000 [3 per cell]

Electronic total energy = -5.456 eV/atom

Material: TcAsH3
Method: DFT, GGA-PBE
State: optimized geometry

abc: 3.533 3.533 3.533
angles: 90.00 90.00 90.00
Space group Pm-3m (No. 221)
Asymmetric unit:
Tc 0.000 0.000 0.000 [1 per cell]
As 0.500 0.500 0.500 [1 per cell]
H 0.000 0.000 0.500 [3 per cell]

Electronic total energy = -4.563 eV/atom

Material: Tc2AsH
Method: DFT, GGA-PBE
State: optimized geometry

abc: 4.683 4.683 10.074
angles: 90.00 90.00 90.00
Space group I-42d (No. 122)
Asymmetric unit:
Tc 0.110 0.250 0.125 [8 per cell]
As 0.000 0.000 0.500 [4 per cell]
H 0.000 0.000 0.000 [4 per cell]

Electronic total energy = -6.837 eV/atom

Material: TcAsH
Method: DFT, GGA-PBE
State: optimized geometry

abc: 4.617 5.636 5.266
angles: 90.00 94.96 90.00
Space group P2_1/c (No. 14)
Asymmetric unit:
Tc 0.133 0.089 0.257 [4 per cell]
As 0.389 0.726 0.468 [4 per cell]
H 0.154 0.101 0.635 [4 per cell]

Electronic total energy = -5.987 eV/atom

Material: Tc2AsH2
Method: DFT, GGA-PBE
State: optimized geometry

abc: 3.698 3.698 7.642
angles: 90.00 90.00 90.00
Space group I4/mmm (No. 139)
Asymmetric unit:
Tc 0.000 0.000 0.169 [4 per cell]
As 0.000 0.000 0.500 [2 per cell]
H 0.000 0.500 0.250 [4 per cell]

Electronic total energy = -6.085 eV/atom

Material: Tc2AsH
Method: DFT, GGA-PBE
State: optimized geometry

abc: 5.836 5.836 5.836
angles: 90.00 90.00 90.00
Space group Fm-3m (No. 225)
Asymmetric unit:
Tc 0.250 0.250 0.250 [8 per cell]
As 0.000 0.000 0.000 [4 per cell]
H 0.000 0.000 0.500 [4 per cell]

Electronic total energy = -6.700 eV/atom

Material: TcAsH3
Method: DFT, GGA-PBE
State: optimized geometry

abc: 3.550 3.550 3.550
angles: 90.00 90.00 90.00
Space group Pm-3m (No. 221)
Asymmetric unit:
Tc 0.000 0.000 0.000 [1 per cell]
As 0.500 0.500 0.500 [1 per cell]
H 0.000 0.500 0.500 [3 per cell]

Electronic total energy = -3.845 eV/atom

Material: Tc2TeAsH
Method: DFT, GGA-PBE
State: optimized geometry

abc: 4.772 4.772 3.363
angles: 90.00 90.00 90.00
Space group P4/mmm (No. 123)
Asymmetric unit:
Tc 0.000 0.500 0.000 [2 per cell]
Te 0.000 0.000 0.500 [1 per cell]
As 0.500 0.500 0.000 [1 per cell]
H 0.500 0.500 0.500 [1 per cell]

Electronic total energy = -5.809 eV/atom

Material: Zn2TcAsH
Method: DFT, GGA-PBE
State: optimized geometry

abc: 4.971 4.971 4.644
angles: 90.00 90.00 90.00
Space group P4/mmm (No. 123)
Asymmetric unit:
Zn 0.000 0.500 0.000 [2 per cell]
Tc 0.000 0.000 0.000 [1 per cell]
As 0.000 0.000 0.500 [1 per cell]
H 0.500 0.500 0.500 [1 per cell]

Electronic total energy = -3.427 eV/atom

Material: TeAsH
Method: DFT, GGA-PBE
State: optimized geometry

abc: 4.752 5.589 6.136
angles: 63.49 89.55 89.79
Space group P-1 (No. 2)
Asymmetric unit:
Te 0.151 0.394 0.216 [2 per cell]
As 0.299 0.927 0.149 [2 per cell]
H 0.498 0.818 0.372 [2 per cell]

Electronic total energy = -3.603 eV/atom

Material: Te3AsH
Method: DFT, GGA-PBE
State: optimized geometry

abc: 4.743 4.743 4.743
angles: 90.00 90.00 90.00
Space group Pm-3m (No. 221)
Asymmetric unit:
Te 0.000 0.000 0.500 [3 per cell]
As 0.500 0.500 0.500 [1 per cell]
H 0.000 0.000 0.000 [1 per cell]

Electronic total energy = -2.791 eV/atom

Material: TeAsH2
Method: DFT, GGA-PBE
State: optimized geometry

abc: 4.0583 4.0583 11.9526
angles: 90.00 90.00 120.00
Space group R-3m (No. 166, hexagonal axes)
Asymmetric unit:
Te 0.0000 0.0000 0.0000 [3 per cell]
As 0.0000 0.0000 0.5000 [3 per cell]
H 0.0000 0.0000 0.1699 [6 per cell]

Electronic total energy = -2.916 eV/atom

Material: Te3As2H2
Method: DFT, GGA-PBE
State: optimized geometry

abc: 4.237 6.203 7.306
angles: 113.36 105.60 90.47
Space group P-1 (No. 2)
Asymmetric unit:
Te 0.000 0.000 0.000 [1 per cell]
Te 0.393 0.327 0.668 [2 per cell]
As 0.357 0.907 0.690 [2 per cell]
H 0.208 0.589 0.171 [2 per cell]

Electronic total energy = -3.411 eV/atom

Material: TeAsH2
Method: DFT, GGA-PBE
State: optimized geometry

abc: 5.621 5.621 7.935
angles: 90.00 90.00 90.00
Space group I4_1/amd (No. 141, origin choice 2)
Asymmetric unit:
Te 0.000 0.250 0.375 [4 per cell]
As 0.000 0.250 0.875 [4 per cell]
H 0.000 0.000 0.000 [8 per cell]

Electronic total energy = -3.204 eV/atom

Material: Te3AsH
Method: DFT, GGA-PBE
State: optimized geometry

abc: 8.270 3.863 9.722
angles: 90.00 100.92 90.00
Space group P2_1/m (No. 11)
Asymmetric unit:
Te 0.098 0.250 0.440 [2 per cell]
Te 0.171 0.750 0.157 [2 per cell]
Te 0.346 0.250 0.809 [2 per cell]
As 0.070 0.750 0.840 [2 per cell]
H 0.360 0.750 0.748 [2 per cell]

Electronic total energy = -3.253 eV/atom